# 1
# NaSrZn2Cu (PBE, relaxed)
data_NaSrZn2Cu
_chemical_formula_sum 'Na1 Sr1 Zn2 Cu1'
_cell_length_a 4.829
_cell_length_b 4.829
_cell_length_c 5.160
_cell_angle_alpha 90.00
_cell_angle_beta 90.00
_cell_angle_gamma 90.00
_symmetry_space_group_name_H-M 'P 1'
_symmetry_Int_Tables_number 1
_symmetry_space_group_name_Hall 'P 1'
loop_
_atom_site_label
_atom_site_fract_x
_atom_site_fract_y
_atom_site_fract_z
Na1 0.000 0.000 0.000
Sr1 0.500 0.500 0.000
Zn1 0.000 0.500 0.500
Zn2 0.500 0.000 0.500
Cu1 0.000 0.000 0.500
# * formation energy from the elements: 0.041 eV per atom
# * energy: -9.44 eV/cell

---

# 2
# NaSr2ZnCu (PBE, relaxed)
data_NaSr2ZnCu
_chemical_formula_sum 'Na1 Sr2 Zn1 Cu1'
_cell_length_a 5.999
_cell_length_b 5.999
_cell_length_c 4.773
_cell_angle_alpha 90.00
_cell_angle_beta 90.00
_cell_angle_gamma 90.00
_symmetry_space_group_name_H-M 'P 1'
_symmetry_Int_Tables_number 1
_symmetry_space_group_name_Hall 'P 1'
loop_
_atom_site_label
_atom_site_fract_x
_atom_site_fract_y
_atom_site_fract_z
Na1 0.000 0.000 0.000
Sr1 0.000 0.500 0.500
Sr2 0.500 0.000 0.500
Zn1 0.500 0.500 0.000
Cu1 0.500 0.500 0.500
# * formation energy from the elements: 0.006 eV per atom
# * energy: -10.02 eV/cell

---

# 3
# NaSr2ZrCu (PBE, relaxed)
data_NaSr2ZrCu
_chemical_formula_sum 'Na1 Sr2 Zr1 Cu1'
_cell_length_a 5.866
_cell_length_b 5.866
_cell_length_c 5.322
_cell_angle_alpha 90.00
_cell_angle_beta 90.00
_cell_angle_gamma 90.00
_symmetry_space_group_name_H-M 'P 1'
_symmetry_Int_Tables_number 1
_symmetry_space_group_name_Hall 'P 1'
loop_
_atom_site_label
_atom_site_fract_x
_atom_site_fract_y
_atom_site_fract_z
Na1 0.000 0.000 0.000
Sr1 0.000 0.500 0.500
Sr2 0.500 0.000 0.500
Zr1 0.500 0.500 0.000
Cu1 0.000 0.000 0.500
# * formation energy from the elements: 0.668 eV per atom
# * energy: -13.99 eV/cell

---

Q: What is the formula in the third record?
A: NaSr2ZrCu